Record 1
GGA-PBE Tb2SmUP4, relaxed; space-group type = P2/m; magnetization = 2.1 μB/f.u.; final energy = -7.301 eV/atom; formation energy = -1.44 eV per atom
1.0
6.954 0.000 0.000
0.000 4.008 0.000
-2.293 0.000 6.578
Tb Sm U P
2 1 1 4
Cartesian
0.000 0.000 0.000
-1.147 2.004 3.289
2.331 0.000 3.289
3.477 2.004 0.000
1.199 2.004 1.587
0.032 0.000 4.985
4.630 0.000 1.592
3.463 2.004 4.991

=====

Record 2
GGA-PBE Ce2Mg15Tl2, relaxed; space-group type = R-3m; magnetization = 2.4 μB/f.u.; final energy = -2.163 eV/atom; formation energy = -0.03 eV per atom
1.0
5.164 2.982 5.051
-5.164 2.982 5.051
0.000 -5.963 5.051
Ce Mg Tl
2 15 2
Cartesian
0.000 0.000 2.619
0.000 0.000 12.535
-2.582 -1.491 5.051
0.000 -3.079 4.863
-2.667 1.540 4.863
-1.590 -2.753 7.577
-3.179 0.000 7.577
-2.667 -1.540 10.291
-2.582 1.491 10.103
1.590 -2.753 7.577
0.000 2.982 5.051
-1.590 2.753 7.577
2.667 1.540 4.863
3.179 0.000 7.577
1.590 2.753 7.577
2.667 -1.540 10.291
0.000 3.079 10.291
0.000 0.000 6.008
0.000 0.000 9.146

=====

Record 3
GGA-PBE CaAc2La2, relaxed; space-group type = R-3m; magnetization = 0.0 μB/f.u.; final energy = -3.977 eV/atom; polymorph energy (0 for the lowest one) = 16 meV/atom; formation energy = 0.04 eV per atom
1.0
1.939 1.119 15.925
-1.939 1.119 15.925
0.000 -2.239 15.925
Ca Ac La
1 2 2
Cartesian
0.000 0.000 0.000
0.000 0.000 9.640
0.000 0.000 38.135
0.000 0.000 19.131
0.000 0.000 28.644

=====

Record 4
GGA-PBE GaAg4Au7, relaxed; space-group type = P-1; magnetization = 0.0 μB/f.u.; final energy = -3.121 eV/atom; polymorph energy (0 for the lowest one) = 0 meV/atom; formation energy = -0.01 eV per atom
1.0
4.983 0.000 0.000
0.779 5.121 0.000
0.160 1.732 8.981
Ga Ag Au
1 4 7
Cartesian
0.000 0.000 0.000
1.285 4.113 6.204
2.163 1.374 2.065
3.759 5.479 6.916
4.637 2.740 2.777
0.389 2.560 0.000
1.307 1.517 4.848
2.116 4.050 3.439
2.944 3.895 0.736
2.977 2.958 8.246
3.806 2.803 5.542
4.615 5.336 4.134

=====

Question: Number 4 is which compound?
Answer: GaAg4Au7

=====

Question: Among the records above, which one has the highest formation energy?
Answer: CaAc2La2

=====

Question: What is the formula in the third record?
Answer: CaAc2La2